Tl2FeTeI | PBE | optimized geometry

For the spin magnetization, the calculation gives 3.54 μB per formula unit. The formation energy from raw total energies is 0.969 eV per atom. The uncorrected energy is -2.6086 eV per atom. Its calculated density is 4.9 g/cm³.

The structure belongs to space group P4/mmm (No. 123); the cell edges are 6.4646, 6.4646 and 5.8304 Å and the angles 90.00°, 90.00° and 90.00°. The inequivalent atoms are Tl at (0.0000, 0.5000, 0.0000), Fe at (0.0000, 0.0000, 0.5000), Te at (0.5000, 0.5000, 0.5000) and I at (0.5000, 0.5000, 0.0000).